VASP calculation (PBE) on KTl2CuAs after structural relaxation.

```
KTl2CuAs
1.0
5.1252 0.0000 0.0000
0.0000 5.1252 0.0000
0.0000 0.0000 5.6971
K Tl Cu As
1 2 1 1
Direct
0.0000 0.0000 0.0000
0.0000 0.5000 0.5000
0.5000 0.0000 0.5000
0.0000 0.0000 0.5000
0.5000 0.5000 0.0000
```

**E_form**: 0.28 eV per atom
**Total energy**: -13.18 eV for the cell shown
**Space group**: P4/mmm
**Volume**: 29.9 Å³/atom

=====

VASP calculation (PBE) on La4Cu5As8 after structural relaxation.

```
La4Cu5As8
1.0
5.8226 0.0000 0.0000
0.0000 2.9122 10.1733
0.0000 -2.9122 10.1733
La Cu As
4 5 8
Direct
0.0000 0.9996 0.9996
0.0000 0.2437 0.2437
0.5000 0.5000 0.5000
0.5000 0.7440 0.7440
0.0000 0.6814 0.6814
0.2559 0.1282 0.6149
0.2559 0.6149 0.1282
0.7441 0.1282 0.6149
0.7441 0.6149 0.1282
0.0000 0.4444 0.4444
0.0000 0.8027 0.8027
0.2713 0.3491 0.8917
0.2713 0.8917 0.3491
0.5000 0.2964 0.2964
0.5000 0.9438 0.9438
0.7287 0.3491 0.8917
0.7287 0.8917 0.3491
```

**E_form**: -0.83 eV per atom
**Total energy**: -91.52 eV for the cell shown
**Space group**: Amm2
**Volume**: 20.3 Å³/atom

=====

VASP calculation (PBE) on La2Cu2As after structural relaxation.

```
La2Cu2As
1.0
3.6766 0.0000 0.0000
0.0000 3.6766 0.0000
0.0000 0.0000 17.0408
La Cu As
4 4 2
Direct
0.0000 0.0000 0.1039
0.0000 0.0000 0.8961
0.5000 0.5000 0.3961
0.5000 0.5000 0.6039
0.0000 0.5000 0.2500
0.0000 0.5000 0.7500
0.5000 0.0000 0.2500
0.5000 0.0000 0.7500
0.0000 0.0000 0.5000
0.5000 0.5000 0.0000
```

**E_form**: -0.47 eV per atom
**Total energy**: -50.08 eV for the cell shown
**Space group**: I4/mmm
**Volume**: 23.0 Å³/atom
**Excess energy over the best structure of this formula in the dataset**: 0.022 eV/atom

=====

VASP calculation (PBE) on La2Cu2As after structural relaxation.

```
La2Cu2As
1.0
5.7292 0.0000 0.0000
0.0000 5.7292 0.0000
0.0000 0.0000 7.2027
La Cu As
4 4 2
Direct
0.0000 0.5000 0.2500
0.0000 0.5000 0.7500
0.5000 0.0000 0.2500
0.5000 0.0000 0.7500
0.0000 0.0000 0.1558
0.0000 0.0000 0.8442
0.5000 0.5000 0.3442
0.5000 0.5000 0.6558
0.0000 0.0000 0.5000
0.5000 0.5000 0.0000
```

**E_form**: -0.32 eV per atom
**Total energy**: -48.62 eV for the cell shown
**Space group**: I4/mmm
**Volume**: 23.6 Å³/atom
**Excess energy over the best structure of this formula in the dataset**: 0.168 eV/atom

=====

Question: Look up the E_form of the first one.
Answer: 0.28 eV per atom